--- 1 ---
The following is a DFT calculation (PBE) of a relaxed structure of HfBrCl.

Output
- Size of the total moment: 0.010 μB per cell

abc: 8.461 8.461 3.261
angles: 90.00 90.00 120.00
Element x y z (fractional)
Hf  0.000  0.544  0.500
Hf  0.456  0.456  0.500
Hf  0.544  0.000  0.500
Br  0.707  0.707  0.000
Br  0.000  0.293  0.000
Br  0.293  0.000  0.000
Cl  0.333  0.667  0.000
Cl  0.000  0.000  0.500
Cl  0.667  0.333  0.000

--- 2 ---
The following is a DFT calculation (PBE) of a relaxed structure of HfBrCl.

Output
- Size of the total moment: 0.000 μB per cell

abc: 7.839 7.839 5.894
angles: 94.90 94.90 25.17
Element x y z (fractional)
Hf  0.999  0.999  0.292
Hf  0.499  0.499  0.792
Br  0.123  0.123  0.986
Br  0.375  0.375  0.429
Cl  0.889  0.889  0.934
Cl  0.609  0.609  0.484

Most stable structure, least stable structure: 2, 1.

--- 1 ---
The following is a DFT calculation (PBE) of a relaxed structure of SmHoBrNCl2.

Output
- Size of the total moment: 0.007 μB per cell

abc: 8.563 8.563 11.015
angles: 119.99 119.99 26.38
Element x y z (fractional)
Cl  0.950  0.950  0.738
Cl  0.050  0.050  0.262
Cl  0.787  0.787  0.395
Cl  0.213  0.213  0.605
Sm  0.865  0.865  0.214
Sm  0.135  0.135  0.786
Br  0.658  0.658  0.018
Br  0.342  0.342  0.982
Ho  0.418  0.418  0.544
Ho  0.582  0.582  0.456
N  0.427  0.427  0.349
N  0.573  0.573  0.651

--- 2 ---
The following is a DFT calculation (PBE) of a relaxed structure of SmHoBrNCl2.

Output
- Size of the total moment: 0.004 μB per cell

abc: 8.629 8.629 10.766
angles: 120.90 120.90 25.96
Element x y z (fractional)
Br  0.043  0.043  0.222
Br  0.957  0.957  0.778
Cl  0.672  0.672  0.016
Cl  0.328  0.328  0.984
Cl  0.218  0.218  0.617
Cl  0.782  0.782  0.383
Ho  0.863  0.863  0.205
Ho  0.137  0.137  0.795
N  0.423  0.423  0.338
N  0.577  0.577  0.662
Sm  0.584  0.584  0.453
Sm  0.416  0.416  0.547

Most stable structure, least stable structure: 1, 2.

--- 1 ---
The following is a DFT calculation (PBE) of a relaxed structure of SmHoBrNCl2.

Output
- Size of the total moment: 0.006 μB per cell

abc: 8.925 8.925 11.137
angles: 122.40 122.40 25.14
Element x y z (fractional)
Sm  0.137  0.137  0.293
Sm  0.863  0.863  0.707
Br  0.953  0.953  0.255
Br  0.047  0.047  0.745
Cl  0.792  0.792  0.888
Cl  0.208  0.208  0.112
Cl  0.671  0.671  0.514
Cl  0.329  0.329  0.486
N  0.427  0.427  0.845
N  0.573  0.573  0.155
Ho  0.579  0.579  0.960
Ho  0.421  0.421  0.040

--- 2 ---
The following is a DFT calculation (PBE) of a relaxed structure of SmHoBrNCl2.

Output
- Size of the total moment: 0.006 μB per cell

abc: 8.386 8.386 10.864
angles: 119.69 119.69 26.88
Element x y z (fractional)
Sm  0.587  0.587  0.453
Sm  0.413  0.413  0.547
Cl  0.045  0.045  0.246
Cl  0.955  0.955  0.754
Cl  0.777  0.777  0.386
Cl  0.223  0.223  0.614
Br  0.660  0.660  0.016
Br  0.340  0.340  0.984
N  0.423  0.423  0.343
N  0.577  0.577  0.657
Ho  0.135  0.135  0.786
Ho  0.865  0.865  0.214

Most stable structure, least stable structure: 1, 2.

--- 1 ---
The following is a DFT calculation (PBE) of a relaxed structure of YHoBrNCl2.

Output
- Size of the total moment: 0.000 μB per cell

abc: 8.866 8.866 11.158
angles: 122.52 122.52 25.00
Element x y z (fractional)
N  0.576  0.576  0.156
N  0.424  0.424  0.844
Y  0.579  0.579  0.958
Y  0.421  0.421  0.042
Cl  0.039  0.039  0.755
Cl  0.211  0.211  0.111
Cl  0.961  0.961  0.245
Cl  0.789  0.789  0.889
Ho  0.864  0.864  0.714
Ho  0.136  0.136  0.286
Br  0.664  0.664  0.516
Br  0.336  0.336  0.484

--- 2 ---
The following is a DFT calculation (PBE) of a relaxed structure of YHoBrNCl2.

Output
- Size of the total moment: 0.000 μB per cell

abc: 8.664 8.664 11.003
angles: 121.24 121.24 25.66
Element x y z (fractional)
Cl  0.212  0.212  0.108
Cl  0.045  0.045  0.758
Cl  0.788  0.788  0.892
Cl  0.955  0.955  0.242
Br  0.662  0.662  0.517
Br  0.338  0.338  0.483
Y  0.135  0.135  0.286
Y  0.865  0.865  0.714
N  0.575  0.575  0.154
N  0.425  0.425  0.846
Ho  0.419  0.419  0.043
Ho  0.581  0.581  0.957

Most stable structure, least stable structure: 2, 1.